This record from Alexandria via LeMat-Bulk describes a geometry-optimized GdPaCo2 structure. The functional is PBE.

The raw total energy is -38.2 eV per formula unit. As for the total moment: 6.993 μB/f.u. The calculation puts the formation energy at -42 kJ/mol of formula units. Its space group is P4/mmm, No. 123.

Cell lengths 4.7387, 4.7387, 3.2935 Å; angles 90.00, 90.00, 90.00 degrees
Sites, in units of the cell vectors:
Gd 0.0000 0.0000 0.0000
Pa 0.5000 0.5000 0.0000
Co 0.0000 0.5000 0.5000
Co 0.5000 0.0000 0.5000